# Mg3ZnAu PBE relaxed
# - formation energy (eV/atom) = 0.003
# - distance to the lowest polymorph of the same formula (kJ/mol of atoms) = 26.5
data_Mg3ZnAu
_symmetry_space_group_name_H-M 'P m -3 m'
_symmetry_Int_Tables_number 221
_symmetry_space_group_name_Hall '-P 4 2 3'
_cell_length_a 5.116
_cell_length_b 5.116
_cell_length_c 5.116
_cell_angle_alpha 90.00
_cell_angle_beta 90.00
_cell_angle_gamma 90.00
loop_
_atom_site_label
_atom_site_type_symbol
_atom_site_fract_x
_atom_site_fract_y
_atom_site_fract_z
Mg1 Mg 0.000 0.000 0.500
Zn1 Zn 0.500 0.500 0.500
Au1 Au 0.000 0.000 0.000

***

# Mg2ZnAu PBE relaxed
# - formation energy (eV/atom) = -0.075
data_Mg2ZnAu
_symmetry_space_group_name_H-M 'I -4 2 d'
_symmetry_Int_Tables_number 122
_symmetry_space_group_name_Hall 'I -4 2bw'
_cell_length_a 7.499
_cell_length_b 7.499
_cell_length_c 5.797
_cell_angle_alpha 90.00
_cell_angle_beta 90.00
_cell_angle_gamma 90.00
loop_
_atom_site_label
_atom_site_type_symbol
_atom_site_fract_x
_atom_site_fract_y
_atom_site_fract_z
Mg1 Mg 0.239 0.750 0.125
Zn1 Zn 0.000 0.000 0.500
Au1 Au 0.000 0.000 0.000